Record 1
# NbH2Ru (PBE, optimized geometry)
data_NbH2Ru
_chemical_formula_sum 'Nb3 H6 Ru3'
_space_group_name_H-M_alt 'R -3 m'
_space_group_IT_number 166
_space_group_name_Hall '-R 3 2"'
_cell_length_a 2.9682
_cell_length_b 2.9682
_cell_length_c 15.1865
_cell_angle_alpha 90.00
_cell_angle_beta 90.00
_cell_angle_gamma 120.00
loop_
_atom_site_label
_atom_site_fract_x
_atom_site_fract_y
_atom_site_fract_z
_atom_site_occupancy
Nb1 0.0000 0.0000 0.0000 1
H1 0.0000 0.0000 0.1275 1
Ru1 0.0000 0.0000 0.5000 1
# electronic total energy: -6.4585 eV per atom
# total magnetic moment: 0.000 μB per cell
# calculated density: 8.4 Mg/m³



Record 2
# NbHRu3 (PBE, optimized geometry)
data_NbHRu3
_chemical_formula_sum 'Nb4 H4 Ru12'
_space_group_name_H-M_alt 'I -4 m 2'
_space_group_IT_number 119
_space_group_name_Hall 'I -4 -2'
_cell_length_a 4.5489
_cell_length_b 4.5489
_cell_length_c 18.4119
_cell_angle_alpha 90.00
_cell_angle_beta 90.00
_cell_angle_gamma 90.00
loop_
_atom_site_label
_atom_site_fract_x
_atom_site_fract_y
_atom_site_fract_z
_atom_site_occupancy
Nb1 0.0000 0.0000 0.0000 1
Nb2 0.0000 0.5000 0.2500 1
H1 0.0000 0.5000 0.6397 1
Ru1 0.0000 0.0000 0.3435 1
Ru2 0.0000 0.2433 0.1220 1
# electronic total energy: -6.9513 eV per atom
# total magnetic moment: 0.000 μB per cell
# calculated density: 6.9 Mg/m³



Record 3
# NbHRu3 (PBE, optimized geometry)
data_NbHRu3
_chemical_formula_sum 'Nb2 H2 Ru6'
_space_group_name_H-M_alt 'P 1'
_space_group_IT_number 1
_space_group_name_Hall 'P 1'
_cell_length_a 4.8679
_cell_length_b 5.2671
_cell_length_c 5.6392
_cell_angle_alpha 75.08
_cell_angle_beta 89.50
_cell_angle_gamma 63.02
loop_
_atom_site_label
_atom_site_fract_x
_atom_site_fract_y
_atom_site_fract_z
_atom_site_occupancy
Nb1 0.0000 0.0000 0.0000 1
Nb2 0.4349 0.4577 0.3786 1
H1 0.7018 0.2138 0.6969 1
H2 0.9438 0.7304 0.3277 1
Ru1 0.0099 0.9754 0.5036 1
Ru2 0.4138 0.4834 0.8881 1
Ru3 0.4922 0.9828 0.2600 1
Ru4 0.5075 0.9595 0.7612 1
Ru5 0.9126 0.4877 0.6343 1
Ru6 0.9196 0.4806 0.1243 1
# electronic total energy: -8.3577 eV per atom
# total magnetic moment: 0.000 μB per cell
# calculated density: 10.7 Mg/m³



Record 4
# NbHRu3 (PBE, optimized geometry)
data_NbHRu3
_chemical_formula_sum 'Nb1 H1 Ru3'
_space_group_name_H-M_alt 'P 4 m m'
_space_group_IT_number 99
_space_group_name_Hall 'P 4 -2'
_cell_length_a 3.7465
_cell_length_b 3.7465
_cell_length_c 6.0298
_cell_angle_alpha 90.00
_cell_angle_beta 90.00
_cell_angle_gamma 90.00
loop_
_atom_site_label
_atom_site_fract_x
_atom_site_fract_y
_atom_site_fract_z
_atom_site_occupancy
Nb1 0.0000 0.0000 0.0000 1
H1 0.5000 0.5000 0.3758 1
Ru1 0.0000 0.0000 0.6083 1
Ru2 0.0000 0.5000 0.3054 1
# electronic total energy: -7.4099 eV per atom
# total magnetic moment: 0.921 μB per cell
# calculated density: 7.8 Mg/m³



Record 5
# NbHRu3 (PBE, optimized geometry)
data_NbHRu3
_chemical_formula_sum 'Nb4 H4 Ru12'
_space_group_name_H-M_alt 'P 1 21/c 1'
_space_group_IT_number 14
_space_group_name_Hall '-P 2ybc'
_cell_length_a 7.4629
_cell_length_b 4.4605
_cell_length_c 9.8359
_cell_angle_alpha 90.00
_cell_angle_beta 131.22
_cell_angle_gamma 90.00
loop_
_atom_site_label
_atom_site_fract_x
_atom_site_fract_y
_atom_site_fract_z
_atom_site_occupancy
Nb1 0.2494 0.2409 0.4493 1
H1 0.2519 0.5072 0.6251 1
Ru1 0.0009 0.2453 0.5835 1
Ru2 0.2502 0.7439 0.2916 1
Ru3 0.4993 0.2476 0.3332 1
# electronic total energy: -8.3815 eV per atom
# total magnetic moment: 0.000 μB per cell
# calculated density: 10.7 Mg/m³



Record 6
# NbHRu3 (PBE, optimized geometry)
data_NbHRu3
_chemical_formula_sum 'Nb2 H2 Ru6'
_space_group_name_H-M_alt 'P 1'
_space_group_IT_number 1
_space_group_name_Hall 'P 1'
_cell_length_a 5.2757
_cell_length_b 5.2826
_cell_length_c 5.6349
_cell_angle_alpha 105.23
_cell_angle_beta 105.19
_cell_angle_gamma 115.70
loop_
_atom_site_label
_atom_site_fract_x
_atom_site_fract_y
_atom_site_fract_z
_atom_site_occupancy
Nb1 0.0000 0.0000 0.0000 1
Nb2 0.4920 0.5027 0.4914 1
H1 0.0296 0.3187 0.8233 1
H2 0.5100 0.8116 0.8384 1
Ru1 0.0674 0.5881 0.6487 1
Ru2 0.0730 0.5990 0.1677 1
Ru3 0.4965 0.5076 0.9994 1
Ru4 0.5660 0.0940 0.6544 1
Ru5 0.5848 0.0991 0.1713 1
Ru6 0.9914 0.0044 0.4910 1
# electronic total energy: -8.3601 eV per atom
# total magnetic moment: 0.000 μB per cell
# calculated density: 10.7 Mg/m³



Record 7
# NbHRu3 (PBE, optimized geometry)
data_NbHRu3
_chemical_formula_sum 'Nb4 H4 Ru12'
_space_group_name_H-M_alt 'C 1 2 1'
_space_group_IT_number 5
_space_group_name_Hall 'C 2y'
_cell_length_a 9.3395
_cell_length_b 4.9005
_cell_length_c 5.6362
_cell_angle_alpha 90.00
_cell_angle_beta 107.50
_cell_angle_gamma 90.00
loop_
_atom_site_label
_atom_site_fract_x
_atom_site_fract_y
_atom_site_fract_z
_atom_site_occupancy
Nb1 0.0045 0.0000 0.2528 1
H1 0.1380 0.3538 0.8199 1
Ru1 0.0000 0.5103 0.0000 1
Ru2 0.0000 0.5114 0.5000 1
Ru3 0.2464 0.6868 0.8670 1
Ru4 0.2474 0.6792 0.3783 1
# electronic total energy: -8.3606 eV per atom
# total magnetic moment: 0.000 μB per cell
# calculated density: 10.7 Mg/m³



Record 8
# NbHRu3 (PBE, optimized geometry)
data_NbHRu3
_chemical_formula_sum 'Nb2 H2 Ru6'
_space_group_name_H-M_alt 'P 63/m m c'
_space_group_IT_number 194
_space_group_name_Hall '-P 6c 2c'
_cell_length_a 2.9094
_cell_length_b 2.9094
_cell_length_c 17.4953
_cell_angle_alpha 90.00
_cell_angle_beta 90.00
_cell_angle_gamma 120.00
loop_
_atom_site_label
_atom_site_fract_x
_atom_site_fract_y
_atom_site_fract_z
_atom_site_occupancy
Nb1 0.0000 0.0000 0.0000 1
H1 0.3333 0.6667 0.2500 1
Ru1 0.0000 0.0000 0.2500 1
Ru2 0.3333 0.6667 0.1243 1
# electronic total energy: -8.0579 eV per atom
# total magnetic moment: 0.000 μB per cell
# calculated density: 10.3 Mg/m³



Record 9
# NbHRu3 (PBE, optimized geometry)
data_NbHRu3
_chemical_formula_sum 'Nb2 H2 Ru6'
_space_group_name_H-M_alt 'P 1'
_space_group_IT_number 1
_space_group_name_Hall 'P 1'
_cell_length_a 4.8836
_cell_length_b 5.3052
_cell_length_c 5.6081
_cell_angle_alpha 105.16
_cell_angle_beta 90.06
_cell_angle_gamma 117.25
loop_
_atom_site_label
_atom_site_fract_x
_atom_site_fract_y
_atom_site_fract_z
_atom_site_occupancy
Nb1 0.0000 0.0000 0.0000 1
Nb2 0.4614 0.5646 0.4041 1
H1 0.4986 0.2715 0.5816 1
H2 0.5019 0.2881 0.0711 1
Ru1 0.0249 0.0298 0.5044 1
Ru2 0.4386 0.5324 0.8945 1
Ru3 0.5254 0.0279 0.2639 1
Ru4 0.5339 0.0340 0.7668 1
Ru5 0.9473 0.5211 0.6372 1
Ru6 0.9582 0.5381 0.1375 1
# electronic total energy: -8.3860 eV per atom
# total magnetic moment: 0.000 μB per cell
# calculated density: 10.7 Mg/m³



Record 10
# NbHRu3 (PBE, optimized geometry)
data_NbHRu3
_chemical_formula_sum 'Nb4 H4 Ru12'
_space_group_name_H-M_alt 'P n m a'
_space_group_IT_number 62
_space_group_name_Hall '-P 2ac 2n'
_cell_length_a 5.0899
_cell_length_b 7.0255
_cell_length_c 7.3758
_cell_angle_alpha 90.00
_cell_angle_beta 90.00
_cell_angle_gamma 90.00
loop_
_atom_site_label
_atom_site_fract_x
_atom_site_fract_y
_atom_site_fract_z
_atom_site_occupancy
Nb1 0.0000 0.0000 0.0000 1
H1 0.2430 0.2500 0.4388 1
Ru1 0.0367 0.5809 0.3468 1
Ru2 0.2042 0.7500 0.7034 1
# electronic total energy: -8.0480 eV per atom
# total magnetic moment: 0.000 μB per cell
# calculated density: 10.0 Mg/m³



Record 11
# NbH4Ru3 (PBE, optimized geometry)
data_NbH4Ru3
_chemical_formula_sum 'Nb1 H4 Ru3'
_space_group_name_H-M_alt 'P m -3 m'
_space_group_IT_number 221
_space_group_name_Hall '-P 4 2 3'
_cell_length_a 4.0661
_cell_length_b 4.0661
_cell_length_c 4.0661
_cell_angle_alpha 90.00
_cell_angle_beta 90.00
_cell_angle_gamma 90.00
loop_
_atom_site_label
_atom_site_fract_x
_atom_site_fract_y
_atom_site_fract_z
_atom_site_occupancy
Nb1 0.0000 0.0000 0.0000 1
H1 0.0000 0.0000 0.5000 1
H2 0.5000 0.5000 0.5000 1
Ru1 0.0000 0.5000 0.5000 1
# electronic total energy: -6.5010 eV per atom
# total magnetic moment: 0.000 μB per cell
# calculated density: 9.9 Mg/m³



Record 12
# NbH2Ru (PBE, optimized geometry)
data_NbH2Ru
_chemical_formula_sum 'Nb4 H8 Ru4'
_space_group_name_H-M_alt 'P n m a'
_space_group_IT_number 62
_space_group_name_Hall '-P 2ac 2n'
_cell_length_a 4.9756
_cell_length_b 2.9115
_cell_length_c 9.9267
_cell_angle_alpha 90.00
_cell_angle_beta 90.00
_cell_angle_gamma 90.00
loop_
_atom_site_label
_atom_site_fract_x
_atom_site_fract_y
_atom_site_fract_z
_atom_site_occupancy
Nb1 0.0921 0.2500 0.1436 1
H1 0.1545 0.2500 0.7486 1
H2 0.2435 0.7500 0.0041 1
Ru1 0.1051 0.7500 0.3955 1
# electronic total energy: -6.6943 eV per atom
# total magnetic moment: 0.000 μB per cell
# calculated density: 9.1 Mg/m³



Record 13
# NbHRu3 (PBE, optimized geometry)
data_NbHRu3
_chemical_formula_sum 'Nb8 H8 Ru24'
_space_group_name_H-M_alt 'C 1 2/c 1'
_space_group_IT_number 15
_space_group_name_Hall '-C 2yc'
_cell_length_a 9.0197
_cell_length_b 11.3269
_cell_length_c 4.8626
_cell_angle_alpha 90.00
_cell_angle_beta 90.71
_cell_angle_gamma 90.00
loop_
_atom_site_label
_atom_site_fract_x
_atom_site_fract_y
_atom_site_fract_z
_atom_site_occupancy
Nb1 0.1361 0.0713 0.0630 1
H1 0.0000 0.3105 0.7500 1
H2 0.0000 0.4422 0.2500 1
Ru1 0.1249 0.3106 0.0917 1
Ru2 0.1282 0.4353 0.5811 1
Ru3 0.1302 0.1898 0.5809 1
# electronic total energy: -8.2926 eV per atom
# total magnetic moment: 0.000 μB per cell
# calculated density: 10.6 Mg/m³



Record 14
# NbH2Ru (PBE, optimized geometry)
data_NbH2Ru
_chemical_formula_sum 'Nb4 H8 Ru4'
_space_group_name_H-M_alt 'I -4 2 d'
_space_group_IT_number 122
_space_group_name_Hall 'I -4 2bw'
_cell_length_a 4.2151
_cell_length_b 4.2151
_cell_length_c 8.6957
_cell_angle_alpha 90.00
_cell_angle_beta 90.00
_cell_angle_gamma 90.00
loop_
_atom_site_label
_atom_site_fract_x
_atom_site_fract_y
_atom_site_fract_z
_atom_site_occupancy
Nb1 0.0000 0.0000 0.0000 1
H1 0.2184 0.2500 0.6250 1
Ru1 0.0000 0.0000 0.5000 1
# electronic total energy: -6.5684 eV per atom
# total magnetic moment: 0.000 μB per cell
# calculated density: 8.4 Mg/m³



Record 15
# NbHRu3 (PBE, optimized geometry)
data_NbHRu3
_chemical_formula_sum 'Nb2 H2 Ru6'
_space_group_name_H-M_alt 'P 1 21/m 1'
_space_group_IT_number 11
_space_group_name_Hall '-P 2yb'
_cell_length_a 4.5614
_cell_length_b 5.6709
_cell_length_c 4.8606
_cell_angle_alpha 90.00
_cell_angle_beta 90.04
_cell_angle_gamma 90.00
loop_
_atom_site_label
_atom_site_fract_x
_atom_site_fract_y
_atom_site_fract_z
_atom_site_occupancy
Nb1 0.2376 0.2500 0.1834 1
H1 0.3985 0.2500 0.8032 1
Ru1 0.2179 0.7500 0.1761 1
Ru2 0.2446 0.5122 0.6616 1
# electronic total energy: -8.3072 eV per atom
# total magnetic moment: 0.000 μB per cell
# calculated density: 10.5 Mg/m³



Record 16
# Nb3H4Ru2 (PBE, optimized geometry)
data_Nb3H4Ru2
_chemical_formula_sum 'Nb6 H8 Ru4'
_space_group_name_H-M_alt 'C 1 2/m 1'
_space_group_IT_number 12
_space_group_name_Hall '-C 2y'
_cell_length_a 9.7033
_cell_length_b 2.8833
_cell_length_c 6.7185
_cell_angle_alpha 90.00
_cell_angle_beta 102.79
_cell_angle_gamma 90.00
loop_
_atom_site_label
_atom_site_fract_x
_atom_site_fract_y
_atom_site_fract_z
_atom_site_occupancy
Nb1 0.0000 0.0000 0.0000 1
Nb2 0.1148 0.5000 0.3928 1
H1 0.0686 0.0000 0.7094 1
H2 0.1648 0.5000 0.0990 1
Ru1 0.1919 0.5000 0.8086 1
# electronic total energy: -6.9514 eV per atom
# total magnetic moment: 0.000 μB per cell
# calculated density: 8.8 Mg/m³



Record 17
# NbHRu3 (PBE, optimized geometry)
data_NbHRu3
_chemical_formula_sum 'Nb2 H2 Ru6'
_space_group_name_H-M_alt 'P 1'
_space_group_IT_number 1
_space_group_name_Hall 'P 1'
_cell_length_a 4.9033
_cell_length_b 5.2925
_cell_length_c 5.5951
_cell_angle_alpha 75.01
_cell_angle_beta 89.66
_cell_angle_gamma 62.53
loop_
_atom_site_label
_atom_site_fract_x
_atom_site_fract_y
_atom_site_fract_z
_atom_site_occupancy
Nb1 0.0000 0.0000 0.0000 1
Nb2 0.0802 0.4469 0.4125 1
H1 0.5671 0.2091 0.4594 1
H2 0.7839 0.7210 0.0714 1
Ru1 0.0099 0.9627 0.5071 1
Ru2 0.0870 0.4700 0.8972 1
Ru3 0.5005 0.9715 0.2662 1
Ru4 0.5025 0.9575 0.7682 1
Ru5 0.5726 0.4849 0.6396 1
Ru6 0.5785 0.4672 0.1340 1
# electronic total energy: -8.3872 eV per atom
# total magnetic moment: 0.000 μB per cell
# calculated density: 10.7 Mg/m³



Record 18
# NbHRu3 (PBE, optimized geometry)
data_NbHRu3
_chemical_formula_sum 'Nb6 H6 Ru18'
_space_group_name_H-M_alt 'R -3 c'
_space_group_IT_number 167
_space_group_name_Hall '-R 3 2"c'
_cell_length_a 7.3421
_cell_length_b 7.3421
_cell_length_c 8.0782
_cell_angle_alpha 90.00
_cell_angle_beta 90.00
_cell_angle_gamma 120.00
loop_
_atom_site_label
_atom_site_fract_x
_atom_site_fract_y
_atom_site_fract_z
_atom_site_occupancy
Nb1 0.0000 0.0000 0.0000 1
H1 0.0000 0.0000 0.2500 1
Ru1 0.0000 0.2890 0.2500 1
# electronic total energy: -8.2129 eV per atom
# total magnetic moment: 0.000 μB per cell
# calculated density: 10.5 Mg/m³



Record 19
# NbHRu3 (PBE, optimized geometry)
data_NbHRu3
_chemical_formula_sum 'Nb2 H2 Ru6'
_space_group_name_H-M_alt 'C 1 m 1'
_space_group_IT_number 8
_space_group_name_Hall 'C -2y'
_cell_length_a 10.1113
_cell_length_b 2.8179
_cell_length_c 4.8983
_cell_angle_alpha 90.00
_cell_angle_beta 118.23
_cell_angle_gamma 90.00
loop_
_atom_site_label
_atom_site_fract_x
_atom_site_fract_y
_atom_site_fract_z
_atom_site_occupancy
Nb1 0.0000 0.0000 0.0000 1
H1 0.3584 0.5000 0.4986 1
Ru1 0.2391 0.0000 0.5657 1
Ru2 0.2448 0.5000 0.0548 1
Ru3 0.4963 0.0000 0.4866 1
# electronic total energy: -8.3668 eV per atom
# total magnetic moment: 0.000 μB per cell
# calculated density: 10.7 Mg/m³



Record 20
# Nb2H2Ru (PBE, optimized geometry)
data_Nb2H2Ru
_chemical_formula_sum 'Nb4 H4 Ru2'
_space_group_name_H-M_alt 'P 4/m b m'
_space_group_IT_number 127
_space_group_name_Hall '-P 4 2ab'
_cell_length_a 6.1363
_cell_length_b 6.1363
_cell_length_c 2.9434
_cell_angle_alpha 90.00
_cell_angle_beta 90.00
_cell_angle_gamma 90.00
loop_
_atom_site_label
_atom_site_fract_x
_atom_site_fract_y
_atom_site_fract_z
_atom_site_occupancy
Nb1 0.1599 0.3401 0.0000 1
H1 0.1246 0.6246 0.5000 1
Ru1 0.0000 0.0000 0.5000 1
# electronic total energy: -7.1309 eV per atom
# total magnetic moment: 0.000 μB per cell
# calculated density: 8.7 Mg/m³



Record 21
# NbHRu3 (PBE, optimized geometry)
data_NbHRu3
_chemical_formula_sum 'Nb2 H2 Ru6'
_space_group_name_H-M_alt 'P 1 21/m 1'
_space_group_IT_number 11
_space_group_name_Hall '-P 2yb'
_cell_length_a 2.8613
_cell_length_b 7.1925
_cell_length_c 6.3826
_cell_angle_alpha 90.00
_cell_angle_beta 102.93
_cell_angle_gamma 90.00
loop_
_atom_site_label
_atom_site_fract_x
_atom_site_fract_y
_atom_site_fract_z
_atom_site_occupancy
Nb1 0.0525 0.2500 0.1012 1
H1 0.1135 0.7500 0.2231 1
Ru1 0.2611 0.7500 0.5224 1
Ru2 0.3870 0.0577 0.7736 1
# electronic total energy: -8.1394 eV per atom
# total magnetic moment: 0.000 μB per cell
# calculated density: 10.3 Mg/m³



Record 22
# NbH2Ru (PBE, optimized geometry)
data_NbH2Ru
_chemical_formula_sum 'Nb3 H6 Ru3'
_space_group_name_H-M_alt 'R 3 m'
_space_group_IT_number 160
_space_group_name_Hall 'R 3 -2"'
_cell_length_a 2.9220
_cell_length_b 2.9220
_cell_length_c 15.7176
_cell_angle_alpha 90.00
_cell_angle_beta 90.00
_cell_angle_gamma 120.00
loop_
_atom_site_label
_atom_site_fract_x
_atom_site_fract_y
_atom_site_fract_z
_atom_site_occupancy
Nb1 0.0000 0.0000 0.0000 1
H1 0.0000 0.0000 0.4192 1
H2 0.0000 0.0000 0.5931 1
Ru1 0.0000 0.0000 0.8076 1
# electronic total energy: -6.4267 eV per atom
# total magnetic moment: 0.000 μB per cell
# calculated density: 8.4 Mg/m³